[1]
# CeAlAu GGA-PBE relaxed
data_CeAlAu
_chemical_formula_sum 'Ce2 Al2 Au2'
_symmetry_space_group_name_H-M 'P 1'
_symmetry_Int_Tables_number 1
_symmetry_space_group_name_Hall 'P 1'
_cell_length_a 4.594
_cell_length_b 4.594
_cell_length_c 7.436
_cell_angle_alpha 90.00
_cell_angle_beta 90.00
_cell_angle_gamma 120.00
loop_
_atom_site_label
_atom_site_type_symbol
_atom_site_fract_x
_atom_site_fract_y
_atom_site_fract_z
Ce1 Ce 0.000 0.000 0.500
Ce2 Ce 0.000 0.000 0.000
Al1 Al 0.333 0.667 0.750
Al2 Al 0.667 0.333 0.250
Au1 Au 0.333 0.667 0.250
Au2 Au 0.667 0.333 0.750
# ρ ... 8.9 g/cm³
# V ... 135.91 Å³/cell
# Uncorrected energy ... -14.8 eV/f.u.
# ΔH_f (0 K) ... -0.615 eV/atom
# Symmetry ... P6_3/mmc (194)
# Magnetic moment ... 0.690 μB per formula unit



[2]
# CeAl2Au5 GGA-PBE relaxed
data_CeAl2Au5
_chemical_formula_sum 'Ce1 Al2 Au5'
_symmetry_space_group_name_H-M 'P 1'
_symmetry_Int_Tables_number 1
_symmetry_space_group_name_Hall 'P 1'
_cell_length_a 4.135
_cell_length_b 6.825
_cell_length_c 6.825
_cell_angle_alpha 63.71
_cell_angle_beta 72.37
_cell_angle_gamma 72.37
loop_
_atom_site_label
_atom_site_type_symbol
_atom_site_fract_x
_atom_site_fract_y
_atom_site_fract_z
Ce1 Ce 0.000 0.000 0.000
Al1 Al 0.760 0.740 0.740
Al2 Al 0.240 0.260 0.260
Au1 Au 0.000 0.500 0.500
Au2 Au 0.637 0.570 0.156
Au3 Au 0.363 0.430 0.844
Au4 Au 0.363 0.844 0.430
Au5 Au 0.637 0.156 0.570
# ρ ... 12.1 g/cm³
# V ... 161.33 Å³/cell
# Uncorrected energy ... -33.6 eV/f.u.
# ΔH_f (0 K) ... -0.474 eV/atom
# Symmetry ... Immm (71)
# Magnetic moment ... 0.883 μB per formula unit



[3]
# Ce2Al6Au9 GGA-PBE relaxed
data_Ce2Al6Au9
_chemical_formula_sum 'Ce2 Al6 Au9'
_symmetry_space_group_name_H-M 'P 1'
_symmetry_Int_Tables_number 1
_symmetry_space_group_name_Hall 'P 1'
_cell_length_a 5.860
_cell_length_b 5.860
_cell_length_c 12.184
_cell_angle_alpha 90.00
_cell_angle_beta 90.00
_cell_angle_gamma 120.00
loop_
_atom_site_label
_atom_site_type_symbol
_atom_site_fract_x
_atom_site_fract_y
_atom_site_fract_z
Ce1 Ce 0.000 0.000 0.678
Ce2 Ce 0.000 0.000 0.322
Al1 Al 0.333 0.667 0.000
Al2 Al 0.667 0.333 0.000
Al3 Al 0.333 0.667 0.665
Al4 Al 0.667 0.333 0.665
Al5 Al 0.667 0.333 0.335
Al6 Al 0.333 0.667 0.335
Au1 Au 0.500 0.000 0.832
Au2 Au 0.000 0.500 0.832
Au3 Au 0.500 0.500 0.832
Au4 Au 0.500 0.000 0.168
Au5 Au 0.000 0.500 0.168
Au6 Au 0.500 0.500 0.168
Au7 Au 0.500 0.000 0.500
Au8 Au 0.000 0.500 0.500
Au9 Au 0.500 0.500 0.500
# ρ ... 10.2 g/cm³
# V ... 362.31 Å³/cell
# Uncorrected energy ... -70.6 eV/f.u.
# ΔH_f (0 K) ... -0.399 eV/atom
# Symmetry ... P6/mmm (191)
# Magnetic moment ... 2.244 μB per formula unit



[4]
# CeAl2Au GGA-PBE relaxed
data_CeAl2Au
_chemical_formula_sum 'Ce1 Al2 Au1'
_symmetry_space_group_name_H-M 'P 1'
_symmetry_Int_Tables_number 1
_symmetry_space_group_name_Hall 'P 1'
_cell_length_a 4.428
_cell_length_b 4.350
_cell_length_c 4.350
_cell_angle_alpha 90.00
_cell_angle_beta 90.00
_cell_angle_gamma 90.00
loop_
_atom_site_label
_atom_site_type_symbol
_atom_site_fract_x
_atom_site_fract_y
_atom_site_fract_z
Au1 Au 0.500 0.000 0.000
Al1 Al 0.000 0.000 0.500
Al2 Al 0.000 0.500 0.000
Ce1 Ce 0.500 0.500 0.500
# ρ ... 7.7 g/cm³
# V ... 83.79 Å³/cell
# Uncorrected energy ... -18.2 eV/f.u.
# ΔH_f (0 K) ... -0.365 eV/atom
# Symmetry ... P4/mmm (123)
# Magnetic moment ... 0.755 μB per formula unit



[5]
# Ce3Al9Au2 GGA-PBE relaxed
data_Ce3Al9Au2
_chemical_formula_sum 'Ce3 Al9 Au2'
_symmetry_space_group_name_H-M 'P 1'
_symmetry_Int_Tables_number 1
_symmetry_space_group_name_Hall 'P 1'
_cell_length_a 4.372
_cell_length_b 8.391
_cell_length_c 8.391
_cell_angle_alpha 74.98
_cell_angle_beta 74.90
_cell_angle_gamma 74.90
loop_
_atom_site_label
_atom_site_type_symbol
_atom_site_fract_x
_atom_site_fract_y
_atom_site_fract_z
Ce1 Ce 0.000 0.000 0.000
Ce2 Ce 0.688 0.312 0.312
Ce3 Ce 0.312 0.688 0.688
Al1 Al 0.000 0.500 0.500
Al2 Al 0.664 0.965 0.707
Al3 Al 0.336 0.035 0.293
Al4 Al 0.664 0.707 0.965
Al5 Al 0.336 0.293 0.035
Al6 Al 0.869 0.854 0.408
Al7 Al 0.131 0.146 0.592
Al8 Al 0.869 0.408 0.854
Al9 Al 0.131 0.592 0.146
Au1 Au 0.500 0.285 0.715
Au2 Au 0.500 0.715 0.285
# ρ ... 6.3 g/cm³
# V ... 280.82 Å³/cell
# Uncorrected energy ... -64.7 eV/f.u.
# ΔH_f (0 K) ... -0.476 eV/atom
# Symmetry ... Immm (71)
# Magnetic moment ... 2.202 μB per formula unit



[6]
# CeAl2Au GGA-PBE relaxed
data_CeAl2Au
_chemical_formula_sum 'Ce1 Al2 Au1'
_symmetry_space_group_name_H-M 'P 1'
_symmetry_Int_Tables_number 1
_symmetry_space_group_name_Hall 'P 1'
_cell_length_a 3.281
_cell_length_b 3.281
_cell_length_c 7.427
_cell_angle_alpha 90.00
_cell_angle_beta 90.00
_cell_angle_gamma 90.00
loop_
_atom_site_label
_atom_site_type_symbol
_atom_site_fract_x
_atom_site_fract_y
_atom_site_fract_z
Au1 Au 0.500 0.500 0.000
Al1 Al 0.000 0.000 0.797
Al2 Al 0.000 0.000 0.203
Ce1 Ce 0.500 0.500 0.500
# ρ ... 8.1 g/cm³
# V ... 79.97 Å³/cell
# Uncorrected energy ... -18.1 eV/f.u.
# ΔH_f (0 K) ... -0.363 eV/atom
# Symmetry ... P4/mmm (123)
# Magnetic moment ... 0.782 μB per formula unit



[7]
# Ce2AlAu3 GGA-PBE relaxed
data_Ce2AlAu3
_chemical_formula_sum 'Ce2 Al1 Au3'
_symmetry_space_group_name_H-M 'P 1'
_symmetry_Int_Tables_number 1
_symmetry_space_group_name_Hall 'P 1'
_cell_length_a 3.517
_cell_length_b 4.680
_cell_length_c 8.207
_cell_angle_alpha 90.00
_cell_angle_beta 90.00
_cell_angle_gamma 90.00
loop_
_atom_site_label
_atom_site_type_symbol
_atom_site_fract_x
_atom_site_fract_y
_atom_site_fract_z
Ce1 Ce 0.000 0.500 0.991
Ce2 Ce 0.000 0.000 0.511
Al1 Al 0.500 0.500 0.327
Au1 Au 0.500 0.000 0.841
Au2 Au 0.500 0.000 0.185
Au3 Au 0.500 0.500 0.646
# ρ ... 11.0 g/cm³
# V ... 135.07 Å³/cell
# Uncorrected energy ... -29.6 eV/f.u.
# Energy relative to the lowest polymorph listed for this composition ... 0 meV/atom
# ΔH_f (0 K) ... -0.693 eV/atom
# Symmetry ... Pmm2 (25)
# Magnetic moment ... 1.453 μB per formula unit



[8]
# CeAl5Au7 GGA-PBE relaxed
data_CeAl5Au7
_chemical_formula_sum 'Ce1 Al5 Au7'
_symmetry_space_group_name_H-M 'P 1'
_symmetry_Int_Tables_number 1
_symmetry_space_group_name_Hall 'P 1'
_cell_length_a 5.535
_cell_length_b 7.102
_cell_length_c 7.102
_cell_angle_alpha 82.88
_cell_angle_beta 67.07
_cell_angle_gamma 67.07
loop_
_atom_site_label
_atom_site_type_symbol
_atom_site_fract_x
_atom_site_fract_y
_atom_site_fract_z
Ce1 Ce 0.997 0.003 0.003
Al1 Al 0.497 0.005 0.490
Al2 Al 0.008 0.005 0.490
Al3 Al 0.497 0.490 0.005
Al4 Al 0.008 0.490 0.005
Al5 Al 0.739 0.761 0.761
Au1 Au 0.664 0.336 0.336
Au2 Au 0.318 0.682 0.682
Au3 Au 0.984 0.352 0.680
Au4 Au 0.984 0.680 0.352
Au5 Au 0.269 0.231 0.231
Au6 Au 0.518 0.790 0.175
Au7 Au 0.518 0.175 0.790
# ρ ... 11.6 g/cm³
# V ... 236.63 Å³/cell
# Uncorrected energy ... -53.6 eV/f.u.
# ΔH_f (0 K) ... -0.463 eV/atom
# Symmetry ... Imm2 (44)
# Magnetic moment ... 0.773 μB per formula unit



[9]
# CeAlAu GGA-PBE relaxed
data_CeAlAu
_chemical_formula_sum 'Ce4 Al4 Au4'
_symmetry_space_group_name_H-M 'P 1'
_symmetry_Int_Tables_number 1
_symmetry_space_group_name_Hall 'P 1'
_cell_length_a 4.574
_cell_length_b 7.470
_cell_length_c 7.778
_cell_angle_alpha 90.00
_cell_angle_beta 90.00
_cell_angle_gamma 90.00
loop_
_atom_site_label
_atom_site_type_symbol
_atom_site_fract_x
_atom_site_fract_y
_atom_site_fract_z
Au1 Au 0.250 0.798 0.091
Au2 Au 0.750 0.202 0.909
Au3 Au 0.750 0.702 0.591
Au4 Au 0.250 0.298 0.409
Al1 Al 0.750 0.823 0.917
Al2 Al 0.250 0.177 0.083
Al3 Al 0.250 0.677 0.417
Al4 Al 0.750 0.323 0.583
Ce1 Ce 0.250 0.009 0.697
Ce2 Ce 0.250 0.509 0.803
Ce3 Ce 0.750 0.991 0.303
Ce4 Ce 0.750 0.491 0.197
# ρ ... 9.1 g/cm³
# V ... 265.71 Å³/cell
# Uncorrected energy ... -14.9 eV/f.u.
# ΔH_f (0 K) ... -0.659 eV/atom
# Symmetry ... Pnma (62)
# Magnetic moment ... 0.511 μB per formula unit



[10]
# Ce3Al2Au3 GGA-PBE relaxed
data_Ce3Al2Au3
_chemical_formula_sum 'Ce12 Al8 Au12'
_symmetry_space_group_name_H-M 'P 1'
_symmetry_Int_Tables_number 1
_symmetry_space_group_name_Hall 'P 1'
_cell_length_a 5.848
_cell_length_b 8.485
_cell_length_c 15.151
_cell_angle_alpha 90.00
_cell_angle_beta 90.00
_cell_angle_gamma 90.00
loop_
_atom_site_label
_atom_site_type_symbol
_atom_site_fract_x
_atom_site_fract_y
_atom_site_fract_z
Ce1 Ce 0.130 0.447 0.394
Ce2 Ce 0.630 0.053 0.606
Ce3 Ce 0.870 0.553 0.894
Ce4 Ce 0.370 0.947 0.106
Ce5 Ce 0.870 0.553 0.606
Ce6 Ce 0.370 0.947 0.394
Ce7 Ce 0.130 0.447 0.106
Ce8 Ce 0.630 0.053 0.894
Ce9 Ce 0.609 0.309 0.250
Ce10 Ce 0.109 0.191 0.750
Ce11 Ce 0.391 0.691 0.750
Ce12 Ce 0.891 0.809 0.250
Al1 Al 0.878 0.097 0.398
Al2 Al 0.378 0.403 0.602
Al3 Al 0.122 0.903 0.898
Al4 Al 0.622 0.597 0.102
Al5 Al 0.122 0.903 0.602
Al6 Al 0.622 0.597 0.398
Al7 Al 0.878 0.097 0.102
Al8 Al 0.378 0.403 0.898
Au1 Au 0.112 0.165 0.250
Au2 Au 0.612 0.335 0.750
Au3 Au 0.888 0.835 0.750
Au4 Au 0.388 0.665 0.250
Au5 Au 0.616 0.308 0.459
Au6 Au 0.116 0.192 0.541
Au7 Au 0.384 0.692 0.959
Au8 Au 0.884 0.808 0.041
Au9 Au 0.384 0.692 0.541
Au10 Au 0.884 0.808 0.459
Au11 Au 0.616 0.308 0.041
Au12 Au 0.116 0.192 0.959
# ρ ... 9.4 g/cm³
# V ... 751.76 Å³/cell
# Uncorrected energy ... -39.9 eV/f.u.
# ΔH_f (0 K) ... -0.594 eV/atom
# Symmetry ... Pnma (62)
# Magnetic moment ... 2.801 μB per formula unit



[11]
# CeAlAu2 GGA-PBE relaxed
data_CeAlAu2
_chemical_formula_sum 'Ce2 Al2 Au4'
_symmetry_space_group_name_H-M 'P 1'
_symmetry_Int_Tables_number 1
_symmetry_space_group_name_Hall 'P 1'
_cell_length_a 5.386
_cell_length_b 6.176
_cell_length_c 6.176
_cell_angle_alpha 112.26
_cell_angle_beta 90.00
_cell_angle_gamma 90.00
loop_
_atom_site_label
_atom_site_type_symbol
_atom_site_fract_x
_atom_site_fract_y
_atom_site_fract_z
Ce1 Ce 0.250 0.685 0.315
Ce2 Ce 0.750 0.315 0.685
Al1 Al 0.500 0.000 0.000
Al2 Al 0.000 0.000 0.000
Au1 Au 0.250 0.611 0.794
Au2 Au 0.750 0.389 0.206
Au3 Au 0.250 0.206 0.389
Au4 Au 0.750 0.794 0.611
# ρ ... 9.8 g/cm³
# V ... 190.15 Å³/cell
# Uncorrected energy ... -18.1 eV/f.u.
# ΔH_f (0 K) ... -0.456 eV/atom
# Symmetry ... Cmcm (63)
# Magnetic moment ... 1.106 μB per formula unit



[12]
# Ce2Al12Au7 GGA-PBE relaxed
data_Ce2Al12Au7
_chemical_formula_sum 'Ce2 Al12 Au7'
_symmetry_space_group_name_H-M 'P 1'
_symmetry_Int_Tables_number 1
_symmetry_space_group_name_Hall 'P 1'
_cell_length_a 4.151
_cell_length_b 10.501
_cell_length_c 10.501
_cell_angle_alpha 120.00
_cell_angle_beta 90.00
_cell_angle_gamma 90.00
loop_
_atom_site_label
_atom_site_type_symbol
_atom_site_fract_x
_atom_site_fract_y
_atom_site_fract_z
Ce1 Ce 0.263 0.333 0.667
Ce2 Ce 0.737 0.667 0.333
Al1 Al 0.254 0.621 0.055
Al2 Al 0.254 0.434 0.379
Al3 Al 0.254 0.945 0.566
Al4 Al 0.746 0.379 0.945
Al5 Al 0.746 0.566 0.621
Al6 Al 0.746 0.055 0.434
Al7 Al 0.261 0.118 0.267
Al8 Al 0.261 0.149 0.882
Al9 Al 0.261 0.733 0.851
Al10 Al 0.739 0.882 0.733
Al11 Al 0.739 0.851 0.118
Al12 Al 0.739 0.267 0.149
Au1 Au 0.500 0.000 0.000
Au2 Au 0.235 0.884 0.295
Au3 Au 0.235 0.411 0.116
Au4 Au 0.235 0.705 0.589
Au5 Au 0.765 0.116 0.705
Au6 Au 0.765 0.589 0.884
Au7 Au 0.765 0.295 0.411
# ρ ... 8.3 g/cm³
# V ... 396.44 Å³/cell
# Uncorrected energy ... -90.2 eV/f.u.
# ΔH_f (0 K) ... -0.497 eV/atom
# Symmetry ... P-3 (147)
# Magnetic moment ... 1.344 μB per formula unit